[1]
Here is a relaxed CaSc2P2 crystal from the Alexandria database. Energies are from GGA-PBE.

Properties
- Formation enthalpy at 0 K: -100 kJ/mol of atoms
- DOS(E_F): 0.1509 states/eV per atom
- E: -30.68 eV per formula unit
- Relative energy among the computed polymorphs: 0 meV per atom

CIF file:
```
data_CaSc2P2
_space_group_name_H-M_alt 'P 4/m b m'
_space_group_IT_number 127
_space_group_name_Hall '-P 4 2ab'
_cell_length_a 7.3892
_cell_length_b 7.3892
_cell_length_c 3.6295
_cell_angle_alpha 90.00
_cell_angle_beta 90.00
_cell_angle_gamma 90.00
loop_
_atom_site_label
_atom_site_type_symbol
_atom_site_fract_x
_atom_site_fract_y
_atom_site_fract_z
Ca1 Ca 0.0000 0.0000 0.0000
Sc1 Sc 0.1510 0.3490 0.5000
P1 P 0.1478 0.6478 0.0000
```

=====

[2]
Here is a relaxed Ce2Pm5S12 crystal from the Alexandria database. Energies are from GGA-PBE.

Properties
- DOS(E_F): 0.8335 states/eV per atom
- E: -119.29 eV per formula unit
- Energy relative to the elements, uncorrected: -173 kJ per mole of atoms

CIF file:
```
data_Ce2Pm5S12
_space_group_name_H-M_alt 'C 1 2/m 1'
_space_group_IT_number 12
_cell_length_a 15.4523
_cell_length_b 7.5969
_cell_length_c 9.0812
_cell_angle_alpha 90.00
_cell_angle_beta 108.24
_cell_angle_gamma 90.00
loop_
_space_group_symop_operation_xyz
'x,y,z'
'-x,-y,-z'
'-x,y,-z'
'x,-y,z'
'x+1/2,y+1/2,z'
'-x+1/2,-y+1/2,-z'
'-x+1/2,y+1/2,-z'
'x+1/2,-y+1/2,z'
loop_
_atom_site_label
_atom_site_type_symbol
_atom_site_fract_x
_atom_site_fract_y
_atom_site_fract_z
Ce1 Ce 0.0000 0.2489 0.0000
Pm1 Pm 0.0000 0.5000 0.5000
Pm2 Pm 0.1878 0.0000 0.8253
Pm3 Pm 0.2061 0.0000 0.3655
S1 S 0.0026 0.0000 0.2187
S2 S 0.0129 0.5000 0.8059
S3 S 0.1487 0.2471 0.5644
S4 S 0.1807 0.2249 0.0965
```

=====

[3]
Here is a relaxed BeAs3Pb crystal from the Alexandria database. Energies are from GGA-PBE.

Properties
- Formation enthalpy at 0 K: 36 kJ/mol of atoms
- DOS(E_F): 0.6893 states/eV per atom
- E: -19.50 eV per formula unit
- Relative energy among the computed polymorphs: 0 meV per atom

CIF file:
```
data_BeAs3Pb
_space_group_name_H-M_alt 'P m -3 m'
_space_group_IT_number 221
_space_group_name_Hall '-P 4 2 3'
_cell_length_a 4.6888
_cell_length_b 4.6888
_cell_length_c 4.6888
_cell_angle_alpha 90.00
_cell_angle_beta 90.00
_cell_angle_gamma 90.00
loop_
_atom_site_label
_atom_site_type_symbol
_atom_site_fract_x
_atom_site_fract_y
_atom_site_fract_z
Be1 Be 0.0000 0.0000 0.0000
As1 As 0.0000 0.0000 0.5000
Pb1 Pb 0.5000 0.5000 0.5000
```

=====

[4]
Here is a relaxed Pm3Pr7Dy2 crystal from the Alexandria database. Energies are from GGA-PBE.

Properties
- Formation enthalpy at 0 K: 9 kJ/mol of atoms
- DOS(E_F): 1.4362 states/eV per atom
- E: -55.85 eV per formula unit
- Relative energy among the computed polymorphs: 17 meV per atom

CIF file:
```
data_Pm3Pr7Dy2
_space_group_name_H-M_alt 'P 1 2/m 1'
_space_group_IT_number 10
_cell_length_a 6.0013
_cell_length_b 3.6440
_cell_length_c 19.3877
_cell_angle_alpha 90.00
_cell_angle_beta 93.36
_cell_angle_gamma 90.00
loop_
_space_group_symop_operation_xyz
'x,y,z'
'-x,-y,-z'
'-x,y,-z'
'x,-y,z'
loop_
_atom_site_label
_atom_site_type_symbol
_atom_site_fract_x
_atom_site_fract_y
_atom_site_fract_z
Pm1 Pm 0.0000 0.0000 0.0000
Pm2 Pm 0.2817 0.5000 0.6337
Pr1 Pr 0.1815 0.5000 0.1459
Pr2 Pr 0.2431 0.0000 0.4648
Pr3 Pr 0.3158 0.0000 0.8167
Pr4 Pr 0.5000 0.5000 0.0000
Dy1 Dy 0.2092 0.0000 0.2967
```